# 1
Density functional theory data (PBE) for crystalline PmEuPb4 at its relaxed geometry.

Cell lengths 6.503, 6.503, 6.503 Å; angles 60.00, 60.00, 60.00 degrees
Atoms (fractional coordinates):
Pm1 0.000 0.000 0.000
Eu1 0.750 0.750 0.750
Pb1 0.375 0.375 0.375
Pb2 0.375 0.375 0.876
Pb3 0.375 0.876 0.375
Pb4 0.876 0.375 0.375

Space-group type: No. 216
Crystal system: cubic

# 2
Density functional theory data (PBE) for crystalline PmEuPb at its relaxed geometry.

Cell lengths 7.669, 7.669, 7.669 Å; angles 90.00, 90.00, 90.00 degrees
Atoms (fractional coordinates):
Pm1 0.000 0.000 0.000
Pm2 0.000 0.500 0.500
Pm3 0.500 0.000 0.500
Pm4 0.500 0.500 0.000
Eu1 0.000 0.000 0.500
Eu2 0.000 0.500 0.000
Eu3 0.500 0.000 0.000
Eu4 0.500 0.500 0.500
Pb1 0.250 0.250 0.750
Pb2 0.250 0.750 0.250
Pb3 0.750 0.250 0.250
Pb4 0.750 0.750 0.750

Space-group type: No. 216
Crystal system: cubic

| no. | energy of formation (eV/f.u.) | calculated total energy (eV per cell) | total moment (μB per formula unit) |
| --- | --- | --- | --- |
| 1 | -1.5 | -31.36 | 7.82 |
| 2 | -0.9 | -78.56 | 7.91 |